[1]
The following is a PBE-GGA calculation of a relaxed structure of ReNiMo2, from Alexandria.

```
ReNiMo2
1.0
5.2215 -0.0040 -0.0134
-2.3401 4.5177 -0.0043
0.5414 0.7452 2.4740
Mo Ni Re
2 1 1
Direct
0.0000 0.0000 0.0000
0.5000 0.0000 0.5000
0.0000 0.5000 0.5000
0.5000 0.5000 0.0000
```

Calculated values
Crystal system = monoclinic
Relative energy among the computed polymorphs = 0.38 eV per formula unit
Final energy = -9.85 eV/atom

***

[2]
The following is a PBE-GGA calculation of a relaxed structure of DyLuMgBe, from Alexandria.

```
DyLuMgBe
1.0
-3.7403 1.1607 -3.1696
-3.6578 -3.3426 -0.9119
-4.6467 0.8040 1.7736
Be Mg Lu Dy
1 1 1 1
Direct
0.0000 0.0000 0.0000
0.5000 0.5000 0.5000
0.2500 0.2500 0.2500
0.7500 0.7500 0.7500
```

Calculated values
Crystal system = cubic
Final energy = -3.52 eV/atom

***

[3]
The following is a PBE-GGA calculation of a relaxed structure of La2AsIr, from Alexandria.

```
La2AsIr
1.0
-7.7447 2.1285 1.0468
3.3098 -1.7870 3.4873
-0.7041 2.9590 2.1807
As Ir La
1 1 2
Direct
0.0000 0.5000 0.5000
0.5000 0.5000 0.0000
0.0000 0.0000 0.0000
0.5000 0.0000 0.5000
```

Calculated values
Crystal system = orthorhombic
Final energy = -6.71 eV/atom

***

[4]
The following is a PBE-GGA calculation of a relaxed structure of AcMgSbI, from Alexandria.

```
AcMgSbI
1.0
-3.0126 0.8834 -3.5457
-4.0127 -2.4874 -0.3731
-9.7861 10.1276 7.6751
Ac Mg Sb I
2 2 2 2
Direct
0.0811 0.0811 0.7566
0.9189 0.9189 0.2434
0.6893 0.6893 0.9322
0.3107 0.3107 0.0678
0.6277 0.6277 0.1170
0.3723 0.3723 0.8830
0.7909 0.7909 0.6273
0.2091 0.2091 0.3727
```

Calculated values
Crystal system = trigonal
Raw formation energy = -357 kJ/mol of formula units
Final energy = -3.77 eV/atom

***

[5]
The following is a PBE-GGA calculation of a relaxed structure of Ho2CdSb, from Alexandria.

```
Ho2CdSb
1.0
3.9115 0.0000 0.0000
0.0000 3.9115 0.0000
0.0000 0.0000 6.8406
Sb Ho Cd
1 2 1
Direct
0.5000 0.5000 0.0000
0.0000 0.0000 0.7557
0.0000 0.0000 0.2443
0.5000 0.5000 0.5000
```

Calculated values
Crystal system = tetragonal
Raw formation energy = -228 kJ/mol of formula units
Relative energy among the computed polymorphs = 0.00 eV per formula unit
Final energy = -4.14 eV/atom

***

[6]
The following is a PBE-GGA calculation of a relaxed structure of ZnSb2O, from Alexandria.

```
ZnSb2O
1.0
-0.6469 0.9941 5.0471
1.6415 -4.7810 1.1521
6.9482 0.4113 3.4725
Sb Zn O
4 2 2
Direct
0.5416 0.1250 0.2500
0.2084 0.6250 0.2500
0.3750 0.4584 0.7500
0.8750 0.7916 0.7500
0.0000 0.0000 0.0000
0.7500 0.2500 0.5000
0.5000 0.5000 0.0000
0.2500 0.7500 0.5000
```

Calculated values
Crystal system = tetragonal
Raw formation energy = -61 kJ/mol of formula units
Relative energy among the computed polymorphs = 0.00 eV per formula unit
Final energy = -3.78 eV/atom

***

[7]
The following is a PBE-GGA calculation of a relaxed structure of Mg5In2Ag2Hg, from Alexandria.

```
Mg5In2Ag2Hg
1.0
-0.2817 -3.8252 1.7054
5.0997 -3.9309 -7.9745
8.8640 1.5368 4.9110
Mg In Ag Hg
10 4 4 2
Direct
0.5000 0.1995 0.0782
0.5000 0.8005 0.9218
0.5000 0.0782 0.8005
0.5000 0.6995 0.4218
0.5000 0.9218 0.1995
0.5000 0.3005 0.5782
0.5000 0.5782 0.6995
0.5000 0.4218 0.3005
0.5000 0.5000 0.0000
0.5000 0.0000 0.5000
0.0000 0.6701 0.1701
0.0000 0.3299 0.8299
0.0000 0.1701 0.3299
0.0000 0.8299 0.6701
0.0000 0.1268 0.6268
0.0000 0.8732 0.3732
0.0000 0.6268 0.8732
0.0000 0.3732 0.1268
0.0000 0.0000 0.0000
0.0000 0.5000 0.5000
```

Calculated values
Crystal system = tetragonal
Final energy = -2.06 eV/atom

***

[8]
The following is a PBE-GGA calculation of a relaxed structure of AcPr2Sm9, from Alexandria.

```
AcPr2Sm9
1.0
-3.4291 1.4295 3.6226
0.0853 -4.7981 1.9740
11.6868 4.0945 9.4470
Ac Pr Sm
1 2 9
Direct
0.0000 0.0000 0.0000
0.0000 0.0000 0.3349
0.0000 0.0000 0.6651
0.5000 0.5000 0.0000
0.5000 0.5000 0.3357
0.5000 0.5000 0.6643
0.5000 0.0000 0.1712
0.5000 0.0000 0.5000
0.5000 0.0000 0.8288
0.0000 0.5000 0.1712
0.0000 0.5000 0.5000
0.0000 0.5000 0.8288
```

Calculated values
Crystal system = tetragonal
Final energy = -4.65 eV/atom

***

Question: Which value of final energy does entry 8 give?
Answer: -4.65 eV/atom

***

Question: Among the records above, which one has the highest final energy?
Answer: Mg5In2Ag2Hg

***

Question: Which formula does entry 7 have?
Answer: Mg5In2Ag2Hg

***

Question: Which of these has the highest final energy?
Answer: Mg5In2Ag2Hg